Density functional theory data (GGA+U) for a relaxed structure of Sr3Ta2MnO9.

Cell and atoms, written as CIF:
```
data_Sr3Ta2MnO9
_chemical_formula_sum 'Sr3 Ta2 Mn1 O9'
_cell_length_a 5.6601
_cell_length_b 5.6601
_cell_length_c 6.9543
_cell_angle_alpha 90.00
_cell_angle_beta 90.00
_cell_angle_gamma 120.00
_space_group_name_H-M_alt 'P -3 m 1'
_space_group_IT_number 164
_space_group_name_Hall '-P 3 2"'
loop_
_atom_site_label
_atom_site_type_symbol
_atom_site_fract_x
_atom_site_fract_y
_atom_site_fract_z
Sr1 Sr 0.0000 0.0000 0.0000
Sr2 Sr 0.3333 0.6667 0.6604
Ta1 Ta 0.3333 0.6667 0.1787
Mn1 Mn 0.0000 0.0000 0.5000
O1 O 0.0000 0.5000 0.0000
O2 O 0.1664 0.3328 0.3334
```

## Properties
- M_tot (μB/atom) = 0.0662
- energy (eV/atom) = -8.068
- D(E_F) (states/eV per cell) = 2.12
- V (Å³/f.u.) = 193